Sr2MgPt | PBEsol | relaxed

Values from the calculation:
Magnetic moment   0.000 μB per atom
Uncorrected energy   -0.2617 Ry/atom

Unit cell a=4.5156 b=4.5156 c=23.1442 alpha=90.00 beta=90.00 gamma=120.00
Space group R3m (No. 160, hexagonal axes)
One atom of each set of equivalent atoms:
1 Sr 0.0000 0.0000 0.0000 [3 per cell]
2 Sr 0.0000 0.0000 0.1762 [3 per cell]
3 Mg 0.0000 0.0000 0.7549 [3 per cell]
4 Pt 0.0000 0.0000 0.4209 [3 per cell]

SrMg2Pt | PBEsol | relaxed

Values from the calculation:
Magnetic moment   0.000 μB per atom
Uncorrected energy   -0.2459 Ry/atom

Unit cell a=4.8661 b=5.5063 c=7.1992 alpha=90.00 beta=90.00 gamma=90.00
Space group Imm2 (No. 44)
One atom of each set of equivalent atoms:
1 Sr 0.0000 0.0000 0.0000 [2 per cell]
2 Mg 0.0000 0.0000 0.4681 [2 per cell]
3 Mg 0.0000 0.5000 0.2021 [2 per cell]
4 Pt 0.0000 0.5000 0.8155 [2 per cell]

MgTa3Pt | PBEsol | relaxed

Values from the calculation:
Magnetic moment   0.000 μB per atom
Uncorrected energy   -0.5963 Ry/atom

Unit cell a=4.8705 b=4.8705 c=4.8705 alpha=90.00 beta=90.00 gamma=90.00
Space group Pm-3m (No. 221)
One atom of each set of equivalent atoms:
1 Mg 0.0000 0.0000 0.0000 [1 per cell]
2 Ta 0.0000 0.5000 0.5000 [3 per cell]
3 Pt 0.5000 0.5000 0.5000 [1 per cell]

MgTa2Pt | PBEsol | relaxed

Values from the calculation:
Magnetic moment   0.240 μB per atom
Uncorrected energy   -0.6175 Ry/atom

Unit cell a=6.4580 b=6.4580 c=6.4580 alpha=90.00 beta=90.00 gamma=90.00
Space group F-43m (No. 216)
One atom of each set of equivalent atoms:
1 Mg 0.0000 0.0000 0.0000 [4 per cell]
2 Ta 0.0000 0.0000 0.5000 [4 per cell]
3 Ta 0.2500 0.2500 0.7500 [4 per cell]
4 Pt 0.2500 0.2500 0.2500 [4 per cell]

MgTa2Pt | PBEsol | relaxed

Values from the calculation:
Magnetic moment   0.000 μB per atom
Uncorrected energy   -0.6282 Ry/atom

Unit cell a=2.8096 b=4.2927 c=5.5352 alpha=90.00 beta=90.00 gamma=90.00
Space group Pmmm (No. 47)
One atom of each set of equivalent atoms:
1 Mg 0.0000 0.0000 0.0000 [1 per cell]
2 Ta 0.5000 0.5000 0.2530 [2 per cell]
3 Pt 0.0000 0.0000 0.5000 [1 per cell]

MgTa2Pt | PBEsol | relaxed

Values from the calculation:
Magnetic moment   0.000 μB per atom
Uncorrected energy   -0.6336 Ry/atom

Unit cell a=2.9362 b=3.7564 c=6.1382 alpha=90.00 beta=90.00 gamma=90.00
Space group Pmm2 (No. 25)
One atom of each set of equivalent atoms:
1 Mg 0.0000 0.0000 0.0000 [1 per cell]
2 Ta 0.0000 0.0000 0.4768 [1 per cell]
3 Ta 0.5000 0.5000 0.7248 [1 per cell]
4 Pt 0.5000 0.5000 0.2203 [1 per cell]

What did the fourth record say?
MgTa2Pt | PBEsol | relaxed

Values from the calculation:
Magnetic moment   0.240 μB per atom
Uncorrected energy   -0.6175 Ry/atom

Unit cell a=6.4580 b=6.4580 c=6.4580 alpha=90.00 beta=90.00 gamma=90.00
Space group F-43m (No. 216)
One atom of each set of equivalent atoms:
1 Mg 0.0000 0.0000 0.0000 [4 per cell]
2 Ta 0.0000 0.0000 0.5000 [4 per cell]
3 Ta 0.2500 0.2500 0.7500 [4 per cell]
4 Pt 0.2500 0.2500 0.2500 [4 per cell]

Number 1 is which compound? Sr2MgPt